Record 1
# HoTm4As5

A geometry-optimized HoTm4As5 structure (PBE-GGA, Alexandria via LeMat-Bulk).

```
HoTm4As5
1.0
-4.5515 4.5515 2.8793
4.5515 -4.5515 2.8793
4.5515 4.5515 -2.8793
Ho Tm As
1 4 5
Cartesian
0.0000 0.0000 0.0000
5.4663 1.8205 0.0000
1.8205 3.6368 0.0000
2.7311 0.9147 2.8793
-0.9147 2.7311 2.8793
2.7421 0.9138 0.0000
3.6377 -1.8095 2.8793
0.0000 0.0000 2.8793
0.9138 6.3610 0.0000
1.8095 3.6377 2.8793
```

Summary:
The value obtained for the formation energy is -1.51 eV/atom. For the size of the total moment, the calculation gives 0.000 μB/atom.

=====

Record 2
# GePdAu

A geometry-optimized GePdAu structure (PBE-GGA, Alexandria via LeMat-Bulk).

```
GePdAu
1.0
0.0000 3.0189 3.0189
3.0189 0.0000 3.0189
3.0189 3.0189 0.0000
Ge Pd Au
1 1 1
Cartesian
0.0000 0.0000 0.0000
4.5284 4.5284 4.5284
1.5095 1.5095 1.5095
```

Summary:
The value obtained for the polymorph energy (0 for the lowest one) is 12.8 kJ/mol of formula units. The value obtained for the formation energy is -0.14 eV/atom. For the size of the total moment, the calculation gives 0.000 μB/atom.

=====

Record 3
# Na3Zn3AsO8

A geometry-optimized Na3Zn3AsO8 structure (PBE-GGA, Alexandria via LeMat-Bulk).

```
Na3Zn3AsO8
1.0
5.2783 -3.0526 0.0000
5.2783 3.0526 0.0000
-3.5234 0.0000 5.5249
Na Zn As O
3 3 1 8
Cartesian
0.0000 0.0000 0.0000
2.6392 1.5263 0.0000
2.6392 -1.5263 0.0000
0.8775 1.5263 2.7624
0.8775 -1.5263 2.7624
3.5167 0.0000 2.7624
-1.7617 0.0000 2.7624
-0.2132 0.0000 3.8281
2.7384 1.7081 3.8255
4.2949 1.7081 1.6994
1.7588 0.0000 1.7083
5.2745 0.0000 3.8165
2.7384 -1.7081 3.8255
4.2949 -1.7081 1.6994
7.2465 0.0000 1.6968
```

Summary:
For the total energy, the calculation gives -71.66 eV per formula unit. For the size of the total moment, the calculation gives 0.140 μB/atom.

=====

Record 4
# HRuN2Cl4

A geometry-optimized HRuN2Cl4 structure (PBE-GGA, Alexandria via LeMat-Bulk).

```
HRuN2Cl4
1.0
8.0315 -3.7884 0.0000
8.0315 3.7884 0.0000
-4.2435 0.0000 7.7846
H Ru N Cl
2 2 4 8
Cartesian
1.3779 0.0000 3.3738
10.4416 0.0000 4.4109
-0.3203 0.0000 3.5874
12.1399 0.0000 4.1972
-2.1218 0.0000 3.8923
2.8457 0.0000 0.2007
5.9098 0.0000 3.8923
8.9738 0.0000 7.5839
3.5157 2.1881 2.6504
3.9964 2.1854 5.8276
7.8231 2.1854 1.9571
8.3038 2.1881 5.1342
3.5157 -2.1881 2.6504
3.9964 -2.1854 5.8276
7.8231 -2.1854 1.9571
8.3038 -2.1881 5.1342
```

Summary:
For the total energy, the calculation gives -28.72 eV per formula unit. For the size of the total moment, the calculation gives 0.860 μB/atom.

=====

Record 5
# LiDyP4O12

A geometry-optimized LiDyP4O12 structure (PBE-GGA, Alexandria via LeMat-Bulk).

```
LiDyP4O12
1.0
8.2196 -3.5645 0.0000
8.2196 3.5645 0.0000
-5.7079 0.0000 7.8449
Li Dy P O
2 2 8 24
Cartesian
3.9387 2.0908 5.8837
6.7927 -2.0908 1.9612
6.7927 1.4719 1.9612
3.9387 -1.4719 5.8837
-1.2665 0.3607 4.8358
1.5874 -0.3607 0.9133
1.2272 1.0613 6.3272
6.6503 1.0613 5.4402
4.0811 -1.0613 2.4047
9.5042 -1.0613 1.5178
9.1440 0.3607 6.9317
11.9979 -0.3607 3.0092
1.2287 0.9153 1.8228
-1.3522 0.0287 3.3652
-4.2061 -0.0287 7.2877
4.5816 2.0603 2.4693
0.3091 0.5521 5.1247
0.5978 0.8217 7.6661
-1.6252 -0.9153 5.7453
3.1630 -0.5521 1.2022
9.0037 2.0603 1.4532
2.6279 0.5798 6.0704
5.2496 0.5798 5.6970
3.4517 -0.8217 3.7437
7.2797 0.8217 4.1013
5.4818 -0.5798 2.1479
8.1035 -0.5798 1.7745
1.7277 -2.0603 6.3918
7.5684 0.5521 6.6428
12.3566 0.9153 2.0996
10.1336 -0.8217 0.1788
10.4223 -0.5521 2.7203
6.1498 -2.0603 5.3756
14.9375 0.0287 0.5573
12.0836 -0.0287 4.4798
9.5027 -0.9153 6.0221
```

Summary:
For the total energy, the calculation gives -131.99 eV per formula unit. For the size of the total moment, the calculation gives 0.000 μB/atom.

=====

Record 6
# ReAg3I2Br6

A geometry-optimized ReAg3I2Br6 structure (PBE-GGA, Alexandria via LeMat-Bulk).

```
ReAg3I2Br6
1.0
7.4698 -4.0138 0.0000
7.4698 4.0138 0.0000
-0.8105 0.0000 6.2718
Re Ag I Br
1 3 2 6
Cartesian
0.0000 0.0000 0.0000
3.7349 2.0069 0.0000
3.7349 -2.0069 0.0000
7.0646 0.0000 3.1359
4.6199 0.0000 1.7357
9.5093 0.0000 4.5361
1.2642 0.0000 4.8709
5.6512 2.2270 4.8164
8.4779 2.2270 1.4554
5.6512 -2.2270 4.8164
8.4779 -2.2270 1.4554
12.8650 0.0000 1.4008
```

Summary:
For the total energy, the calculation gives -37.06 eV per formula unit. For the size of the total moment, the calculation gives 0.165 μB/atom.

=====

Record 7
# Cs2PuTlBr8

A geometry-optimized Cs2PuTlBr8 structure (PBE-GGA, Alexandria via LeMat-Bulk).

```
Cs2PuTlBr8
1.0
-4.0470 4.0470 7.4850
4.0470 -4.0470 7.4850
4.0470 4.0470 -7.4850
Cs Pu Tl Br
2 1 1 8
Cartesian
0.0000 0.0000 0.0000
0.0000 4.0470 3.7425
4.0470 0.0000 3.7425
0.0000 0.0000 7.4850
1.7498 2.3780 -2.0495
2.2972 -1.6690 5.4355
2.3780 1.7498 2.0495
5.7159 1.7498 2.0495
1.7498 5.7159 -2.0495
2.2972 1.6690 5.4355
-1.6690 2.2972 9.5345
1.6690 2.2972 9.5345
```

Summary:
For the total energy, the calculation gives -46.17 eV per formula unit. For the size of the total moment, the calculation gives 0.244 μB/atom.

=====

Record 8
# LiCe2Pt

A geometry-optimized LiCe2Pt structure (PBE-GGA, Alexandria via LeMat-Bulk).

```
LiCe2Pt
1.0
3.7644 0.0000 0.0000
0.0000 3.7644 0.0000
0.0000 0.0000 6.8107
Li Ce Pt
1 2 1
Cartesian
0.0000 0.0000 0.0000
1.8822 1.8822 1.9432
1.8822 1.8822 4.8675
0.0000 0.0000 3.4054
```

Summary:
The value obtained for the formation energy is -0.41 eV/atom. For the size of the total moment, the calculation gives 0.351 μB/atom.

=====

Record 9
# Li2TlBr

A geometry-optimized Li2TlBr structure (PBE-GGA, Alexandria via LeMat-Bulk).

```
Li2TlBr
1.0
3.4465 0.0000 0.0000
0.0000 3.5284 0.0000
0.0000 0.0000 8.4484
Li Tl Br
2 1 1
Cartesian
0.0000 0.0000 0.0000
1.7233 1.7642 3.3706
1.7233 1.7642 6.4271
0.0000 0.0000 2.5139
```

Summary:
The value obtained for the polymorph energy (0 for the lowest one) is 27.7 kJ/mol of formula units. For the size of the total moment, the calculation gives 0.000 μB/atom.

=====

Record 10
# ScP2AuCl

A geometry-optimized ScP2AuCl structure (PBE-GGA, Alexandria via LeMat-Bulk).

```
ScP2AuCl
1.0
4.8214 0.0000 0.0000
0.0000 4.8214 0.0000
0.0000 0.0000 4.8886
Sc P Au Cl
1 2 1 1
Cartesian
0.0000 0.0000 0.0000
0.0000 2.4107 2.4443
2.4107 0.0000 2.4443
2.4107 2.4107 2.4443
2.4107 2.4107 0.0000
```

Summary:
The value obtained for the polymorph energy (0 for the lowest one) is 77.8 kJ/mol of formula units. For the size of the total moment, the calculation gives 0.000 μB/atom.

=====

Record 11
# K5Pt

A geometry-optimized K5Pt structure (PBE-GGA, Alexandria via LeMat-Bulk).

```
K5Pt
1.0
4.4520 0.0000 0.0000
0.0000 4.4520 0.0000
0.0000 0.0000 14.5414
K Pt
5 1
Cartesian
0.0000 0.0000 0.0000
0.0000 0.0000 5.7962
0.0000 0.0000 8.7453
2.2260 2.2260 3.3775
2.2260 2.2260 11.1640
2.2260 2.2260 7.2707
```

Summary:
The value obtained for the polymorph energy (0 for the lowest one) is 37.6 kJ/mol of formula units. The value obtained for the formation energy is 0.11 eV/atom. For the size of the total moment, the calculation gives 0.000 μB/atom.

=====

Record 12
# Ce5NpP6

A geometry-optimized Ce5NpP6 structure (PBE-GGA, Alexandria via LeMat-Bulk).

```
Ce5NpP6
1.0
3.5247 -6.1064 0.0000
3.5247 6.1064 0.0000
-2.3507 0.0000 6.6468
Ce Np P
5 1 6
Cartesian
0.0000 0.0000 0.0000
2.3493 4.0752 3.3234
3.5247 2.0519 0.0000
3.5247 -2.0519 0.0000
2.3493 -4.0752 3.3234
2.3493 0.0000 3.3234
1.1939 2.0042 1.6857
0.0383 0.0000 4.9686
1.1939 -2.0042 1.6857
3.5047 2.0042 4.9611
4.6602 0.0000 1.6782
3.5047 -2.0042 4.9611
```

Summary:
The value obtained for the formation energy is -1.39 eV/atom. For the size of the total moment, the calculation gives 0.575 μB/atom.